[1]
Below is a relaxed Dy2Ga5Ni2Pd crystal, with properties calculated at the PBE level. Values from VASP.

ΔH_f (0 K): -5.74 eV/f.u.
Space-group type: P4/mbm (127)

Geometry as Quantum ESPRESSO input:
```
&SYSTEM
  ibrav = 0, nat = 20, ntyp = 4
/
ATOMIC_SPECIES
Ga 69.72 Ga.upf
Dy 162.50 Dy.upf
Pd 106.42 Pd.upf
Ni 58.69 Ni.upf
CELL_PARAMETERS angstrom
4.028 0.000 0.000
0.000 9.190 0.000
0.000 0.000 9.190
ATOMIC_POSITIONS angstrom
Ga 2.014 1.900 0.552
Ga 2.014 4.595 0.000
Ga 2.014 0.000 4.595
Ga 2.014 2.695 5.147
Ga 2.014 4.043 2.695
Ga 2.014 0.552 7.291
Ga 2.014 7.291 8.639
Ga 2.014 5.147 6.495
Ga 2.014 6.495 4.043
Ga 2.014 8.639 1.900
Dy 0.000 2.913 7.508
Dy 0.000 6.277 1.682
Dy 0.000 1.682 2.913
Dy 0.000 7.508 6.277
Pd 0.000 0.000 0.000
Pd 0.000 4.595 4.595
Ni 0.000 3.578 1.017
Ni 0.000 8.174 3.578
Ni 0.000 1.017 5.612
Ni 0.000 5.612 8.174
```



[2]
Below is a relaxed LaFeAs2Br crystal, with properties calculated at the PBE level. Values from VASP.

Formation energy from raw total energies: -0.492 eV/atom
Space-group type: P4/mmm (123)

Geometry as Quantum ESPRESSO input:
```
&SYSTEM
  ibrav = 0, nat = 5, ntyp = 4
/
ATOMIC_SPECIES
As 74.92 As.upf
Fe 55.84 Fe.upf
Br 79.90 Br.upf
La 138.91 La.upf
CELL_PARAMETERS angstrom
4.680 0.000 0.000
0.000 4.680 0.000
0.000 0.000 5.193
ATOMIC_POSITIONS angstrom
As 2.340 0.000 0.000
As 0.000 2.340 0.000
Fe 0.000 0.000 0.000
Br 0.000 0.000 2.597
La 2.340 2.340 2.597
```



[3]
Below is a relaxed Ho3ZrRh4 crystal, with properties calculated at the PBE level. Values from VASP.

ΔH_f (0 K): -7.00 eV/f.u.
Space-group type: P4/mmm (123)

Geometry as Quantum ESPRESSO input:
```
&SYSTEM
  ibrav = 0, nat = 8, ntyp = 3
/
ATOMIC_SPECIES
Rh 102.91 Rh.upf
Zr 91.22 Zr.upf
Ho 164.93 Ho.upf
CELL_PARAMETERS angstrom
-0.902 3.120 0.792
-2.325 -1.200 2.081
9.260 0.043 10.368
ATOMIC_POSITIONS angstrom
Rh 8.218 0.038 9.202
Rh 5.812 0.027 6.507
Rh 3.448 0.016 3.860
Rh 1.041 0.005 1.166
Zr -1.613 0.960 1.437
Ho 3.017 0.982 6.621
Ho 5.356 0.992 9.240
Ho 0.677 0.971 4.001
```



[4]
Below is a relaxed Be4SiP crystal, with properties calculated at the PBE level. Values from VASP.

Formation energy from raw total energies: 0.375 eV/atom
Space-group type: F-43m (216)

Geometry as Quantum ESPRESSO input:
```
&SYSTEM
  ibrav = 0, nat = 6, ntyp = 3
/
ATOMIC_SPECIES
Be 9.01 Be.upf
Si 28.09 Si.upf
P 30.97 P.upf
CELL_PARAMETERS angstrom
-2.891 -3.253 0.833
-4.350 0.848 0.002
-2.565 -1.572 -3.254
ATOMIC_POSITIONS angstrom
Be -3.673 -1.490 -0.906
Be -4.960 -2.278 -2.539
Be -5.855 -1.064 -0.905
Be -5.124 -3.122 -0.488
Si 0.000 0.000 0.000
P -7.355 -2.983 -1.814
```



[5]
Below is a relaxed NdHf2Fe crystal, with properties calculated at the PBE level. Values from VASP.

ΔH_f (0 K): 0.07 eV/f.u.
Space-group type: P4/mmm (123)

Geometry as Quantum ESPRESSO input:
```
&SYSTEM
  ibrav = 0, nat = 4, ntyp = 3
/
ATOMIC_SPECIES
Hf 178.49 Hf.upf
Nd 144.24 Nd.upf
Fe 55.84 Fe.upf
CELL_PARAMETERS angstrom
-2.167 -2.305 -0.699
2.271 -2.268 0.441
-2.040 -0.496 7.964
ATOMIC_POSITIONS angstrom
Hf -1.673 -0.407 6.532
Hf -0.367 -0.089 1.432
Nd -0.968 -2.535 3.853
Fe 0.052 -2.287 -0.129
```



[6]
Below is a relaxed CeClF crystal, with properties calculated at the PBE level. Values from VASP.

Formation energy from raw total energies: -2.640 eV/atom
Space-group type: P-6m2 (187)

Geometry as Quantum ESPRESSO input:
```
&SYSTEM
  ibrav = 0, nat = 3, ntyp = 3
/
ATOMIC_SPECIES
Cl 35.45 Cl.upf
Ce 140.12 Ce.upf
F 19.00 F.upf
CELL_PARAMETERS angstrom
-1.374 1.059 3.893
-2.804 -0.992 -3.052
0.150 -3.623 1.039
ATOMIC_POSITIONS angstrom
Cl 0.150 -3.623 1.039
Ce -1.775 -1.434 2.097
F -2.252 -2.122 -0.217
```



The records above yield E values of -93.67; -26.82; -58.69; -23.49; -33.06; -17.57 eV per cell, respectively.
The records above yield ρ values of 8.8; 6.2; 10.7; 2.6; 10.7; 5.4 g cm⁻³, respectively.
The records above yield spin magnetization values of 0.00; 0.54; 0.00; 0.00; 0.10; 0.47 μB per atom, respectively.